Entry 1:
Here is Hg3TeBr4 at its PBEsol-relaxed geometry from Alexandria via LeMat-Bulk. Energies are from SCAN.

```
data_Hg3TeBr4
_chemical_formula_sum 'Hg24 Te8 Br32'
_symmetry_space_group_name_H-M 'P b c a'
_symmetry_Int_Tables_number 61
_cell_length_a 12.2128
_cell_length_b 12.4547
_cell_length_c 12.9591
_cell_angle_alpha 90.00
_cell_angle_beta 90.00
_cell_angle_gamma 90.00
loop_
_symmetry_equiv_pos_as_xyz
'x,y,z'
'-x,-y,-z'
'-x+1/2,-y,z+1/2'
'x+1/2,y,-z+1/2'
'x+1/2,-y+1/2,-z'
'-x+1/2,y+1/2,z'
'-x,y+1/2,-z+1/2'
'x,-y+1/2,z+1/2'
loop_
_atom_site_label
_atom_site_fract_x
_atom_site_fract_y
_atom_site_fract_z
Hg1 0.0908 0.0946 0.1888
Hg2 0.1826 0.6845 0.7650
Hg3 0.2353 0.0811 0.4824
Te1 0.0836 0.5991 0.5986
Br1 0.0466 0.0923 0.4016
Br2 0.0902 0.1994 0.6767
Br3 0.1713 0.5931 0.2699
Br4 0.2397 0.6604 0.9538
```



Entry 2:
# CsAsI2O, single point on PBEsol structure, DFT SCAN
# E above lowest polymorph, meV per atom: 0
data_CsAsI2O
_chemical_formula_sum 'Cs1 As1 I2 O1'
_symmetry_space_group_name_H-M 'P 4/m m m'
_symmetry_Int_Tables_number 123
_symmetry_space_group_name_Hall '-P 4 2'
_cell_length_a 6.1356
_cell_length_b 6.1356
_cell_length_c 3.9041
_cell_angle_alpha 90.00
_cell_angle_beta 90.00
_cell_angle_gamma 90.00
loop_
_atom_site_label
_atom_site_fract_x
_atom_site_fract_y
_atom_site_fract_z
Cs1 0.0000 0.0000 0.0000
As1 0.5000 0.5000 0.5000
I1 0.0000 0.5000 0.5000
O1 0.5000 0.5000 0.0000



Number 1: formation energy without anion corrections -0.44 eV/atom, volume 246.4 Å³/f.u.. Number 2: formation energy without anion corrections -0.80 eV/atom, volume 147.0 Å³/f.u..